# NiIr2Rh SCAN single point on PBEsol structure
# M_tot ... 0.0 μB/f.u.
# Space-group type ... I-4m2 (119)
# Crystal system ... tetragonal
# Raw total energy ... -48.054 eV per atom
# ΔH_f (0 K) ... -18 meV per atom
data_NiIr2Rh
_chemical_formula_sum 'Ni1 Ir2 Rh1'
_space_group_name_H-M_alt 'P 1'
_space_group_IT_number 1
_cell_length_a 3.7227
_cell_length_b 3.7227
_cell_length_c 4.5981
_cell_angle_alpha 113.88
_cell_angle_beta 113.88
_cell_angle_gamma 90.00
loop_
_space_group_symop_operation_xyz
'x,y,z'
loop_
_atom_site_label
_atom_site_fract_x
_atom_site_fract_y
_atom_site_fract_z
Ir1 0.0000 0.0000 0.0000
Ni1 0.5000 0.5000 0.0000
Rh1 0.2500 0.7500 0.5000
Ir2 0.7500 0.2500 0.5000

***

# BaTaRh2 SCAN single point on PBEsol structure
# M_tot ... 0.0 μB/f.u.
# Space-group type ... Pmm2 (25)
# Crystal system ... orthorhombic
# Raw total energy ... -43.283 eV per atom
# Polymorph energy (0 for the lowest one) ... 356.0 meV/atom
# ΔH_f (0 K) ... 136 meV per atom
data_BaTaRh2
_chemical_formula_sum 'Ba1 Ta1 Rh2'
_space_group_name_H-M_alt 'P 1'
_space_group_IT_number 1
_cell_length_a 3.1549
_cell_length_b 3.7545
_cell_length_c 7.3686
_cell_angle_alpha 90.00
_cell_angle_beta 90.00
_cell_angle_gamma 90.00
loop_
_space_group_symop_operation_xyz
'x,y,z'
loop_
_atom_site_label
_atom_site_fract_x
_atom_site_fract_y
_atom_site_fract_z
Rh1 0.0000 0.0000 0.0626
Ta1 0.0000 0.0000 0.3832
Rh2 0.5000 0.5000 0.2726
Ba1 0.5000 0.5000 0.7816

***

# Pr2In8Pd SCAN single point on PBEsol structure
# M_tot ... 0.0 μB/f.u.
# Space-group type ... P4/mmm (123)
# Crystal system ... tetragonal
# Raw total energy ... -35.700 eV per atom
# ΔH_f (0 K) ... -562 meV per atom
data_Pr2In8Pd
_chemical_formula_sum 'Pr2 In8 Pd1'
_space_group_name_H-M_alt 'P 1'
_space_group_IT_number 1
_cell_length_a 4.6619
_cell_length_b 4.6619
_cell_length_c 12.1079
_cell_angle_alpha 90.00
_cell_angle_beta 90.00
_cell_angle_gamma 90.00
loop_
_space_group_symop_operation_xyz
'x,y,z'
loop_
_atom_site_label
_atom_site_fract_x
_atom_site_fract_y
_atom_site_fract_z
Pd1 0.0000 0.0000 0.0000
In1 0.5000 0.0000 0.1232
In2 0.5000 0.5000 0.6919
In3 0.0000 0.5000 0.1232
In4 0.0000 0.5000 0.8768
In5 0.5000 0.0000 0.5000
In6 0.5000 0.0000 0.8768
Pr1 0.0000 0.0000 0.3095
Pr2 0.0000 0.0000 0.6905
In7 0.5000 0.5000 0.3081
In8 0.0000 0.5000 0.5000

***

# YSiMo SCAN single point on PBEsol structure
# M_tot ... 0.0 μB/f.u.
# Space-group type ... P-6m2 (187)
# E_form (uncorrected) ... -171 meV/atom
# Crystal system ... hexagonal
# Raw total energy ... -24.419 eV per atom
data_YSiMo
_chemical_formula_sum 'Y1 Si1 Mo1'
_space_group_name_H-M_alt 'P 1'
_space_group_IT_number 1
_cell_length_a 3.8151
_cell_length_b 4.2170
_cell_length_c 4.2170
_cell_angle_alpha 120.00
_cell_angle_beta 90.00
_cell_angle_gamma 90.00
loop_
_space_group_symop_operation_xyz
'x,y,z'
loop_
_atom_site_label
_atom_site_fract_x
_atom_site_fract_y
_atom_site_fract_z
Mo1 0.0000 0.0000 0.0000
Si1 0.0000 0.3333 0.6667
Y1 0.5000 0.6667 0.3333

***

# La2TlPt SCAN single point on PBEsol structure
# M_tot ... 0.0 μB/f.u.
# Space-group type ... I-4m2 (119)
# Crystal system ... tetragonal
# Raw total energy ... -57.899 eV per atom
# Polymorph energy (0 for the lowest one) ... 243.7 meV/atom
# ΔH_f (0 K) ... -709 meV per atom
data_La2TlPt
_chemical_formula_sum 'La2 Tl1 Pt1'
_space_group_name_H-M_alt 'P 1'
_space_group_IT_number 1
_cell_length_a 4.4727
_cell_length_b 4.4727
_cell_length_c 5.9257
_cell_angle_alpha 112.17
_cell_angle_beta 112.17
_cell_angle_gamma 90.00
loop_
_space_group_symop_operation_xyz
'x,y,z'
loop_
_atom_site_label
_atom_site_fract_x
_atom_site_fract_y
_atom_site_fract_z
La1 0.7500 0.2500 0.5000
Tl1 0.2500 0.7500 0.5000
La2 0.0000 0.0000 0.0000
Pt1 0.5000 0.5000 0.0000

***

# ZrAsCl SCAN single point on PBEsol structure
# M_tot ... 0.0 μB/f.u.
# Space-group type ... I4mm (107)
# E_form (uncorrected) ... -1022 meV/atom
# Crystal system ... tetragonal
# Raw total energy ... -20.644 eV per atom
data_ZrAsCl
_chemical_formula_sum 'Zr1 As1 Cl1'
_space_group_name_H-M_alt 'P 1'
_space_group_IT_number 1
_cell_length_a 3.0601
_cell_length_b 3.0601
_cell_length_c 7.0074
_cell_angle_alpha 102.61
_cell_angle_beta 102.61
_cell_angle_gamma 90.00
loop_
_space_group_symop_operation_xyz
'x,y,z'
loop_
_atom_site_label
_atom_site_fract_x
_atom_site_fract_y
_atom_site_fract_z
As1 0.9710 0.9710 0.9420
Cl1 0.7043 0.7043 0.4086
Zr1 0.3247 0.3247 0.6495